# Tc2RuSe

A crystal of Tc2RuSe relaxed with PBEsol (meta-GGA SCAN, Alexandria via LeMat-Bulk).

Cell: 2.8302 3.9692 5.2132 Å, 90.00 104.31 90.00°
Closest atoms and distances in Å follow each position.
Element x y z (fractional)
Ru (0.5000, 0.5000, 0.0000)  2 Se 2.61, 8 Tc 2.74-2.76, 2 Ru 2.83
Se (0.5000, 0.5000, 0.5000)  4 Tc 2.46, 2 Ru 2.61
Tc (0.8766, 0.0000, 0.7465)  2 Se 2.46, 1 Tc 2.56, 2 Ru 2.74
Tc (0.1234, 0.0000, 0.2535)  2 Se 2.46, 1 Tc 2.56, 2 Ru 2.74

ΔE_f (raw) = 26.6 kJ per mole of atoms

***

# TeRuSe

A crystal of TeRuSe relaxed with PBEsol (meta-GGA SCAN, Alexandria via LeMat-Bulk).

Cell: 4.4473 4.4473 4.4473 Å, 60.00 60.00 60.00°
Closest atoms and distances in Å follow each position.
Element x y z (fractional)
Ru (0.5000, 0.5000, 0.5000)  4 Se 2.72
Se (0.2500, 0.2500, 0.2500)  4 Ru 2.72, 4 Te 2.72
Te (0.0000, 0.0000, 0.0000)  4 Se 2.72

ΔE_f (raw) = 96.4 kJ per mole of atoms

***

Question: The highest ΔE_f (raw) belongs to which entry?
Answer: TeRuSe

***

Question: Which of these has the highest ΔE_f (raw)?
Answer: TeRuSe